No. 1
# PmHoH4

An optimized crystal structure of PmHoH4 (PBE, Alexandria).

Properties
Space-group type: I4_1/amd
E_tot in eV for the cell shown: -53.64
Density of states at the Fermi level in states/eV per cell: 4.1
Total moment in μB/cell: 0.00

abc: 5.2726 5.2726 6.4700
angles: 114.05 114.05 90.00
Sites, in units of the cell vectors:
H 0.1380 0.6250 0.7500
H 0.3750 0.3880 0.2500
H 0.3750 0.8620 0.2500
H 0.8750 0.8620 0.2500
H 0.8750 0.3880 0.2500
H 0.6120 0.6250 0.7500
H 0.1380 0.1250 0.7500
H 0.6120 0.1250 0.7500
Ho 0.5000 0.5000 0.0000
Ho 0.2500 0.7500 0.5000
Pm 0.7500 0.2500 0.5000
Pm 0.0000 0.0000 0.0000

=====

No. 2
# PmHo3H

An optimized crystal structure of PmHo3H (PBE, Alexandria).

Properties
Space-group type: Pm-3m
E_tot in eV for the cell shown: -22.66
Density of states at the Fermi level in states/eV per cell: 4.8
Total moment in μB/cell: 0.00

abc: 4.9943 4.9943 4.9943
angles: 90.00 90.00 90.00
Sites, in units of the cell vectors:
Pm 0.5000 0.5000 0.5000
Ho 0.5000 0.0000 0.0000
Ho 0.0000 0.0000 0.5000
Ho 0.0000 0.5000 0.0000
H 0.0000 0.0000 0.0000

=====

No. 3
# PmHoH2

An optimized crystal structure of PmHoH2 (PBE, Alexandria).

Properties
ΔE to the lowest computed polymorph in eV/f.u.: 0.000
Space-group type: R-3m
E_tot in eV for the cell shown: -17.53
Density of states at the Fermi level in states/eV per cell: 2.4
Total moment in μB/cell: 0.00

abc: 3.5296 3.5296 6.0904
angles: 73.16 73.16 60.00
Sites, in units of the cell vectors:
H 0.2551 0.2551 0.2348
H 0.7449 0.7449 0.7652
Ho 0.0000 0.0000 0.0000
Pm 0.5000 0.5000 0.5000

=====

No. 4
# Pm2Ho2H

An optimized crystal structure of Pm2Ho2H (PBE, Alexandria).

Properties
Space-group type: P4/mmm
E_tot in eV for the cell shown: -22.85
Density of states at the Fermi level in states/eV per cell: 5.2
Total moment in μB/cell: 0.00

abc: 5.0512 5.0386 5.0386
angles: 90.00 90.00 90.00
Sites, in units of the cell vectors:
Pm 0.5000 0.5000 0.5000
Pm 0.5000 0.0000 0.0000
Ho 0.0000 0.0000 0.5000
Ho 0.0000 0.5000 0.0000
H 0.0000 0.0000 0.0000

=====

No. 5
# PmHoH2

An optimized crystal structure of PmHoH2 (PBE, Alexandria).

Properties
ΔE to the lowest computed polymorph in eV/f.u.: 0.349
Space-group type: R3m
E_tot in eV for the cell shown: -17.18
Density of states at the Fermi level in states/eV per cell: 1.9
Total moment in μB/cell: 0.00

abc: 3.5290 3.5290 6.2995
angles: 73.73 73.73 60.00
Sites, in units of the cell vectors:
Ho 0.6698 0.6698 0.9907
H 0.2671 0.2671 0.1988
H 0.0726 0.0726 0.7822
Pm 0.4905 0.4905 0.5284

=====

No. 6
# Pm4Ho2H

An optimized crystal structure of Pm4Ho2H (PBE, Alexandria).

Properties
Space-group type: I4/mmm
E_tot in eV for the cell shown: -30.97
Density of states at the Fermi level in states/eV per cell: 8.5
Total moment in μB/cell: 0.00

abc: 4.9251 4.9251 9.3645
angles: 74.75 74.75 90.00
Sites, in units of the cell vectors:
Ho 0.6451 0.6451 0.7098
Ho 0.3549 0.3549 0.2902
Pm 0.8470 0.8470 0.3060
Pm 0.5000 0.0000 0.0000
Pm 0.0000 0.5000 0.0000
Pm 0.1530 0.1530 0.6940
H 0.0000 0.0000 0.0000

=====

Question: Which formula does entry 4 have?
Answer: Pm2Ho2H

=====

Question: Look up the density of states at the Fermi level of the third one.
Answer: 2.4 states/eV per cell

=====

What did the sixth record say?
# Pm4Ho2H

An optimized crystal structure of Pm4Ho2H (PBE, Alexandria).

Properties
Space-group type: I4/mmm
E_tot in eV for the cell shown: -30.97
Density of states at the Fermi level in states/eV per cell: 8.5
Total moment in μB/cell: 0.00

abc: 4.9251 4.9251 9.3645
angles: 74.75 74.75 90.00
Sites, in units of the cell vectors:
Ho 0.6451 0.6451 0.7098
Ho 0.3549 0.3549 0.2902
Pm 0.8470 0.8470 0.3060
Pm 0.5000 0.0000 0.0000
Pm 0.0000 0.5000 0.0000
Pm 0.1530 0.1530 0.6940
H 0.0000 0.0000 0.0000